Entry 1:
VASP calculation (GGA-PBE) on Sr3PW after structural relaxation.

Cell: 5.6208 5.6208 5.6208 Å, 90.00 90.00 90.00°
Element x y z (fractional)
Sr 0.0000 0.5000 0.0000
W 0.0000 0.0000 0.0000
Sr 0.0000 0.0000 0.5000
P 0.5000 0.5000 0.5000
Sr 0.5000 0.0000 0.0000

SG: No. 221
energy: -3.60 eV per atom
energy of formation from the pure elements: 1.079 eV/atom

=====

Entry 2:
VASP calculation (GGA-PBE) on BaEuInPb after structural relaxation.

Cell: 5.8714 5.8714 5.8714 Å, 60.00 60.00 60.00°
Site moments in Bohr magnetons follow the coordinates.
Element x y z (fractional)
Eu 0.0000 0.0000 0.0000  6.90
Ba 0.5000 0.5000 0.5000  0.02
In 0.2500 0.2500 0.2500  0.04
Pb 0.7500 0.7500 0.7500  -0.02

SG: No. 216
energy: -5.11 eV per atom
energy of formation from the pure elements: -0.448 eV/atom

=====

Entry 3:
VASP calculation (GGA-PBE) on La4Pm8Th after structural relaxation.

Cell: 7.8802 7.8802 7.8802 Å, 97.38 97.38 97.38°
Element x y z (fractional)
La 0.0000 0.0000 0.0000
La 0.0000 0.5000 0.5000
Pm 0.7625 0.7625 0.7625
Th 0.5000 0.5000 0.5000
Pm 0.8327 0.3312 0.8327
Pm 0.3312 0.8327 0.8327
Pm 0.8327 0.8327 0.3312
La 0.5000 0.0000 0.5000
Pm 0.2375 0.2375 0.2375
Pm 0.6688 0.1673 0.1673
Pm 0.1673 0.1673 0.6688
Pm 0.1673 0.6688 0.1673
La 0.5000 0.5000 0.0000

SG: No. 166
energy: -4.63 eV per atom
energy of formation from the pure elements: 0.377 eV/atom

=====

Entry 4:
VASP calculation (GGA-PBE) on Sc3Ru5 after structural relaxation.

Cell: 7.7662 7.7662 5.0460 Å, 90.00 90.00 120.00°
Element x y z (fractional)
Ru 0.6667 0.3333 0.5000
Sc 0.6124 0.6124 0.7500
Ru 0.2049 0.2049 0.7500
Ru 0.0000 0.2049 0.2500
Ru 0.3333 0.6667 0.5000
Sc 0.3876 0.3876 0.2500
Sc 0.0000 0.3876 0.7500
Ru 0.3333 0.6667 0.0000
Ru 0.7951 0.7951 0.2500
Sc 0.3876 0.0000 0.7500
Ru 0.0000 0.7951 0.7500
Ru 0.2049 0.0000 0.2500
Ru 0.7951 0.0000 0.7500
Sc 0.0000 0.6124 0.2500
Sc 0.6124 0.0000 0.2500
Ru 0.6667 0.3333 0.0000

SG: No. 193
energy: -8.24 eV per atom
energy of formation from the pure elements: -0.064 eV/atom

=====

Entry 5:
VASP calculation (GGA-PBE) on Cs2RbAuCl6 after structural relaxation.

Cell: 8.1445 8.1445 7.9160 Å, 59.04 59.04 90.00°
Element x y z (fractional)
Au 0.0000 0.0000 0.0000
Rb 0.5000 0.5000 0.0000
Cl 0.2303 0.2303 0.0000
Cs 0.2500 0.7500 0.5000
Cl 0.2303 0.7697 0.0000
Cl 0.2134 0.2134 0.5732
Cl 0.7697 0.2303 0.0000
Cl 0.7866 0.7866 0.4268
Cs 0.7500 0.2500 0.5000
Cl 0.7697 0.7697 0.0000

SG: No. 139
energy: -2.94 eV per atom
E_form (uncorrected): -1232 meV/atom

=====

Entry 6:
VASP calculation (GGA-PBE) on NbV2Ge2 after structural relaxation.

Cell: 3.3708 4.8636 5.2200 Å, 99.68 108.84 90.00°
Element x y z (fractional)
Nb 0.0000 0.0000 0.0000
Ge 0.2878 0.8318 0.5756
V 0.6094 0.5938 0.2188
Ge 0.7122 0.1682 0.4244
V 0.3906 0.4062 0.7812

SG: No. 12
energy: -7.49 eV per atom
energy of formation from the pure elements: 0.020 eV/atom

=====

Entry 7:
VASP calculation (GGA-PBE) on CeDy2Y3Bi6 after structural relaxation.

Cell: 7.7962 7.7962 7.7995 Å, 99.59 99.59 120.01°
Site moments in Bohr magnetons follow the coordinates.
Element x y z (fractional)
Dy 0.6671 0.3329 0.0000  0.00
Y 0.5000 0.5000 0.5000  0.00
Y 0.8349 0.1651 0.5000  -0.01
Bi 0.5794 0.9159 0.7479  -0.01
Bi 0.7466 0.7466 0.2500  -0.01
Dy 0.3329 0.6671 0.0000  0.00
Bi 0.9159 0.5794 0.7479  -0.01
Ce 0.0000 0.0000 0.0000  0.76
Bi 0.0841 0.4206 0.2521  -0.01
Y 0.1651 0.8349 0.5000  -0.01
Bi 0.4206 0.0841 0.2521  -0.01
Bi 0.2534 0.2534 0.7500  -0.01

SG: No. 12
energy: -5.69 eV per atom
energy of formation from the pure elements: -0.869 eV/atom

=====

Entry 8:
VASP calculation (GGA-PBE) on AgTe2 after structural relaxation.

Cell: 4.1509 4.1509 11.0699 Å, 90.00 90.00 90.00°
Element x y z (fractional)
Ag 0.0000 0.5000 0.3839
Te 0.0000 0.5000 0.6409
Te 0.5000 0.5000 0.0000
Te 0.5000 0.0000 0.3591
Te 0.0000 0.0000 0.0000
Ag 0.5000 0.0000 0.6161

SG: No. 129
energy: -2.89 eV per atom
E_form (uncorrected): 159 meV/atom

=====

Per-record magnetization, μB per atom: 0.00, 1.83, 0.00, 0.00, 0.00, 0.00, 0.06, 0.00